VASP calculation (PBE-GGA) on an optimized crystal structure of P2RuNO.

- Formation energy (no corrections): -0.597 eV/atom
- N(E_F): 2.14 states/eV per cell
- Relative energy among the computed polymorphs: 0.000 eV per atom

Cell: 2.791 4.488 5.504 Å, 83.30 75.23 71.67°
Fractional positions:
1 N 0.043 0.690 0.165
2 Ru 0.865 0.647 0.564
3 O 0.425 0.137 0.955
4 P 0.536 0.227 0.649
5 P 0.602 0.748 0.991